Material: Pm2Cl
Method: DFT, PBE
State: optimized geometry

```
data_Pm2Cl
_symmetry_space_group_name_H-M 'P 1'
_symmetry_Int_Tables_number 1
_cell_length_a 6.546
_cell_length_b 6.546
_cell_length_c 6.546
_cell_angle_alpha 60.00
_cell_angle_beta 60.00
_cell_angle_gamma 60.00
loop_
_symmetry_equiv_pos_as_xyz
'x,y,z'
loop_
_atom_site_label
_atom_site_type_symbol
_atom_site_fract_x
_atom_site_fract_y
_atom_site_fract_z
Pm1 Pm 0.000 0.000 0.000
Pm2 Pm 0.000 0.000 0.500
Pm3 Pm 0.000 0.500 0.000
Pm4 Pm 0.500 0.000 0.000
Cl1 Cl 0.375 0.375 0.375
Cl2 Cl 0.625 0.625 0.625
```

## Properties
- E: -3.677 eV/atom